DFT (PBE) results for an optimized crystal structure of PmPaHgIr.

Unit cell a=5.1153 b=5.1153 c=5.1153 alpha=60.00 beta=60.00 gamma=60.00
Sites, in units of the cell vectors:
Pa  0.2500  0.2500  0.2500
Pm  0.7500  0.7500  0.7500
Hg  0.0000  0.0000  0.0000
Ir  0.5000  0.5000  0.5000

Computed properties:
The value obtained for the total energy is -6.10 eV per atom. The spin magnetization comes out at 1.0 μB/f.u. For the polymorph energy (0 for the lowest one), the calculation gives 229 meV/atom.

DFT (PBE) results for an optimized crystal structure of PmPaHgIr.

Unit cell a=3.9916 b=3.9912 c=8.2148 alpha=90.00 beta=104.07 gamma=119.99
Sites, in units of the cell vectors:
Pm  0.4962  0.1460  0.6575
Pa  0.1037  0.9498  0.0689
Hg  0.9617  0.3789  0.3558
Ir  0.3163  0.5561  0.8875

Computed properties:
The value obtained for the total energy is -6.33 eV per atom. The spin magnetization comes out at 0.0 μB/f.u. For the polymorph energy (0 for the lowest one), the calculation gives 0 meV/atom.

DFT (PBE) results for an optimized crystal structure of HgIr2Pb.

Unit cell a=7.4713 b=7.4713 c=6.0226 alpha=51.66 beta=51.66 gamma=90.00
Sites, in units of the cell vectors:
Pb  0.0000  0.0000  0.0000
Pb  0.7500  0.2500  0.5000
Ir  0.6299  0.1250  0.2500
Ir  0.1201  0.6250  0.2500
Ir  0.3750  0.3701  0.7500
Ir  0.8750  0.8799  0.7500
Hg  0.5000  0.5000  0.0000
Hg  0.2500  0.7500  0.5000

Computed properties:
The value obtained for the total energy is -4.60 eV per atom. The spin magnetization comes out at 0.0 μB/f.u. For the polymorph energy (0 for the lowest one), the calculation gives 418 meV/atom.

DFT (PBE) results for an optimized crystal structure of HgIr2Pb.

Unit cell a=4.7026 b=4.7026 c=4.7026 alpha=60.00 beta=60.00 gamma=60.00
Sites, in units of the cell vectors:
Pb  0.5000  0.5000  0.5000
Ir  0.2500  0.2500  0.2500
Ir  0.7500  0.7500  0.7500
Hg  0.0000  0.0000  0.0000

Computed properties:
The value obtained for the total energy is -4.86 eV per atom. The spin magnetization comes out at 0.0 μB/f.u. For the polymorph energy (0 for the lowest one), the calculation gives 163 meV/atom.